Record 1
Li15CaCd4 PBE-GGA optimized geometry; crystal system = tetragonal; SG = No. 123; E = -36.76 eV/cell
1.0
4.800 0.000 0.000
0.000 4.800 0.000
0.000 0.000 17.239
Li Ca Cd
15 1 4
Direct
0.000 0.000 0.000 Li
0.000 0.000 0.213 Li
0.000 0.000 0.405 Li
0.000 0.000 0.595 Li
0.000 0.000 0.787 Li
0.000 0.500 0.128 Li
0.000 0.500 0.312 Li
0.000 0.500 0.500 Li
0.000 0.500 0.688 Li
0.000 0.500 0.872 Li
0.500 0.000 0.128 Li
0.500 0.000 0.312 Li
0.500 0.000 0.500 Li
0.500 0.000 0.688 Li
0.500 0.000 0.872 Li
0.500 0.500 0.000 Ca
0.500 0.500 0.217 Cd
0.500 0.500 0.406 Cd
0.500 0.500 0.594 Cd
0.500 0.500 0.783 Cd

Record 2
Sr3Ta PBE-GGA optimized geometry; crystal system = tetragonal; SG = No. 123; E above lowest polymorph = 291 meV per atom
1.0
3.592 0.000 0.000
0.000 3.592 0.000
0.000 0.000 11.596
Sr Ta
3 1
Direct
0.000 0.000 0.000 Sr
0.500 0.500 0.302 Sr
0.500 0.500 0.698 Sr
0.000 0.000 0.500 Ta

Record 3
HoSn3Rh3 PBE-GGA optimized geometry; crystal system = cubic; SG = No. 223; E = -76.63 eV/cell
1.0
7.143 0.000 0.000
0.000 7.143 0.000
0.000 0.000 7.143
Ho Sn Rh
2 6 6
Direct
0.000 0.000 0.000 Ho
0.500 0.500 0.500 Ho
0.000 0.250 0.500 Sn
0.000 0.750 0.500 Sn
0.250 0.500 0.000 Sn
0.500 0.000 0.250 Sn
0.500 0.000 0.750 Sn
0.750 0.500 0.000 Sn
0.000 0.500 0.250 Rh
0.000 0.500 0.750 Rh
0.250 0.000 0.500 Rh
0.500 0.250 0.000 Rh
0.500 0.750 0.000 Rh
0.750 0.000 0.500 Rh

Record 4
EuPuIn4 PBE-GGA optimized geometry; crystal system = cubic; SG = No. 216; E = -37.01 eV/cell
1.0
0.000 4.329 4.329
4.329 0.000 4.329
4.329 4.329 0.000
Eu Pu In
1 1 4
Direct
0.000 0.000 0.000 Eu
0.250 0.250 0.250 Pu
0.126 0.625 0.625 In
0.625 0.126 0.625 In
0.625 0.625 0.126 In
0.625 0.625 0.625 In

Record 5
Pr4SbRu PBE-GGA optimized geometry; crystal system = monoclinic; SG = No. 15; formation energy from raw total energies = -45.54 kJ per mole of atoms
1.0
4.586 -7.121 0.000
4.586 7.121 0.000
-2.979 0.000 5.695
Pr Sb Ru
8 2 2
Direct
0.067 0.705 0.921 Pr
0.210 0.339 0.674 Pr
0.295 0.933 0.579 Pr
0.339 0.210 0.174 Pr
0.661 0.790 0.826 Pr
0.705 0.067 0.421 Pr
0.790 0.661 0.326 Pr
0.933 0.295 0.079 Pr
0.374 0.626 0.250 Sb
0.626 0.374 0.750 Sb
0.002 0.998 0.750 Ru
0.998 0.002 0.250 Ru

Record 6
RbDySO PBE-GGA optimized geometry; crystal system = monoclinic; SG = No. 8; formation energy from raw total energies = -207.90 kJ per mole of atoms
1.0
3.242 -1.872 0.000
3.242 1.872 0.000
-2.153 0.000 7.389
Rb Dy S O
1 1 1 1
Direct
0.000 0.000 0.000 Rb
0.156 0.156 0.466 Dy
0.565 0.565 0.695 S
0.780 0.780 0.337 O

Record 7
Al2NCl PBE-GGA optimized geometry; crystal system = cubic; SG = No. 225; formation energy from raw total energies = 61.47 kJ per mole of atoms; E above lowest polymorph = 959 meV per atom
1.0
0.000 2.991 2.991
2.991 0.000 2.991
2.991 2.991 0.000
Al N Cl
2 1 1
Direct
0.250 0.250 0.250 Al
0.750 0.750 0.750 Al
0.000 0.000 0.000 N
0.500 0.500 0.500 Cl

Record 8
Rb2HfTe6 PBE-GGA optimized geometry; crystal system = monoclinic; SG = No. 12; formation energy from raw total energies = -53.81 kJ per mole of atoms
1.0
7.917 -4.663 0.000
7.917 4.663 0.000
-0.223 0.000 5.185
Rb Hf Te
2 1 6
Direct
0.181 0.181 0.117 Rb
0.819 0.819 0.883 Rb
0.500 0.500 0.500 Hf
0.159 0.576 0.383 Te
0.317 0.683 0.000 Te
0.424 0.841 0.617 Te
0.576 0.159 0.383 Te
0.683 0.317 0.000 Te
0.841 0.424 0.617 Te

Record 9
CaYTl PBE-GGA optimized geometry; crystal system = tetragonal; SG = No. 107; E above lowest polymorph = 119 meV per atom
1.0
-1.841 1.841 6.951
1.841 -1.841 6.951
1.841 1.841 -6.951
Ca Y Tl
1 1 1
Direct
0.000 0.000 0.000 Ca
0.294 0.294 0.000 Y
0.651 0.651 0.000 Tl

Record 10
Sc2CuO PBE-GGA optimized geometry; crystal system = tetragonal; SG = No. 122; formation energy from raw total energies = -132.40 kJ per mole of atoms
1.0
-3.006 3.006 3.804
3.006 -3.006 3.804
3.006 3.006 -3.804
Sc Cu O
4 2 2
Direct
0.049 0.625 0.924 Sc
0.375 0.299 0.424 Sc
0.701 0.125 0.076 Sc
0.875 0.951 0.576 Sc
0.250 0.750 0.500 Cu
0.500 0.500 0.000 Cu
0.000 0.000 0.000 O
0.750 0.250 0.500 O

Record 11
Nd3DyC8 PBE-GGA optimized geometry; crystal system = tetragonal; SG = No. 121; E = -90.85 eV/cell
1.0
-3.633 3.633 3.840
3.633 -3.633 3.840
3.633 3.633 -3.840
Nd Dy C
3 1 8
Direct
0.000 0.000 0.000 Nd
0.250 0.750 0.500 Nd
0.750 0.250 0.500 Nd
0.500 0.500 0.000 Dy
0.108 0.108 0.470 C
0.119 0.119 0.679 C
0.362 0.892 0.000 C
0.440 0.440 0.321 C
0.560 0.881 0.000 C
0.638 0.638 0.530 C
0.881 0.560 0.000 C
0.892 0.362 0.000 C

Record 12
VGaPI2 PBE-GGA optimized geometry; crystal system = tetragonal; SG = No. 123; formation energy from raw total energies = 101.58 kJ per mole of atoms
1.0
5.658 0.000 0.000
0.000 5.658 0.000
0.000 0.000 4.618
V Ga P I
1 1 1 2
Direct
0.000 0.000 0.000 V
0.500 0.500 0.500 Ga
0.500 0.500 0.000 P
0.000 0.500 0.500 I
0.500 0.000 0.500 I